No. 1
# Tb8AsSe3S3

A relaxed structure of Tb8AsSe3S3 (GGA-PBE, the Alexandria database).

Calculated values
The calculation puts the volume at 364 Å³/cell. The uncorrected formation energy comes out at -2512 kJ/mol of formula units.

Unit cell a=7.9836 b=7.9844 c=8.0499 alpha=119.72 beta=90.00 gamma=120.00
Fractional coordinates of all 15 atoms:
1 Tb 0.2615 0.0122 0.2630
2 Tb 0.7508 0.0122 0.2630
3 Tb 0.7420 0.4840 0.7260
4 Tb 0.7507 0.5015 0.2630
5 Tb 0.2492 0.9878 0.7370
6 Tb 0.2580 0.5160 0.2740
7 Tb 0.7385 0.9878 0.7370
8 Tb 0.2493 0.4985 0.7370
9 S 0.5000 0.5000 0.5000
10 S 0.5000 0.0000 0.5000
11 S 0.0000 0.5000 0.5000
12 Se 0.0000 0.0000 0.0000
13 Se 0.0000 0.5000 0.0000
14 Se 0.5000 0.5000 0.0000
15 As 0.0000 0.0000 0.5000

=====

No. 2
# LaTbZr

A relaxed structure of LaTbZr (GGA-PBE, the Alexandria database).

Calculated values
The calculation puts the volume at 90 Å³/cell. The energy of formation from the pure elements comes out at 109 meV per atom.

Unit cell a=3.4147 b=3.4147 c=8.0639 alpha=102.22 beta=102.22 gamma=90.00
Fractional coordinates of all 3 atoms:
1 La 0.9905 0.9905 0.9811
2 Zr 0.3284 0.3284 0.6568
3 Tb 0.6811 0.6811 0.3622

=====

No. 3
# NaGe

A relaxed structure of NaGe (GGA-PBE, the Alexandria database).

Calculated values
The calculation puts the volume at 679 Å³/cell. The energy of formation from the pure elements comes out at -6 meV per atom.

Unit cell a=8.7900 b=8.7900 c=8.7900 alpha=90.00 beta=90.00 gamma=90.00
Fractional coordinates of all 16 atoms:
1 Ge 0.1042 0.8958 0.1042
2 Ge 0.1042 0.1042 0.8958
3 Ge 0.8958 0.1042 0.1042
4 Ge 0.6042 0.3958 0.6042
5 Ge 0.6042 0.6042 0.3958
6 Ge 0.8958 0.8958 0.8958
7 Ge 0.3958 0.6042 0.6042
8 Ge 0.3958 0.3958 0.3958
9 Na 0.2070 0.7930 0.7930
10 Na 0.2930 0.2930 0.7070
11 Na 0.2070 0.2070 0.2070
12 Na 0.2930 0.7070 0.2930
13 Na 0.7070 0.2930 0.2930
14 Na 0.7930 0.2070 0.7930
15 Na 0.7930 0.7930 0.2070
16 Na 0.7070 0.7070 0.7070

=====

No. 4
# ZrTlCl2

A relaxed structure of ZrTlCl2 (GGA-PBE, the Alexandria database).

Calculated values
The calculation puts the volume at 95 Å³/cell. The uncorrected formation energy comes out at -278 kJ/mol of formula units.

Unit cell a=4.5002 b=3.5015 c=6.0898 alpha=82.79 beta=90.00 gamma=90.00
Fractional coordinates of all 4 atoms:
1 Cl 0.0000 0.8732 0.9714
2 Cl 0.0000 0.6268 0.5286
3 Zr 0.5000 0.7500 0.7500
4 Tl 0.5000 0.2500 0.2500

=====

No. 5
# Dy2MgGe4Rh3

A relaxed structure of Dy2MgGe4Rh3 (GGA-PBE, the Alexandria database).

Calculated values
The calculation puts the volume at 185 Å³/cell. The energy of formation from the pure elements comes out at -737 meV per atom.

Unit cell a=4.1876 b=4.1876 c=10.5683 alpha=90.00 beta=90.00 gamma=90.00
Fractional coordinates of all 10 atoms:
1 Rh 0.5000 0.0000 0.8768
2 Rh 0.0000 0.5000 0.1232
3 Rh 0.0000 0.0000 0.5000
4 Ge 0.0000 0.0000 0.0000
5 Ge 0.5000 0.5000 0.0000
6 Ge 0.0000 0.5000 0.3520
7 Ge 0.5000 0.0000 0.6480
8 Mg 0.5000 0.5000 0.5000
9 Dy 0.0000 0.5000 0.7637
10 Dy 0.5000 0.0000 0.2363

=====

No. 6
# Mg5Ga3Cl12

A relaxed structure of Mg5Ga3Cl12 (GGA-PBE, the Alexandria database).

Calculated values
The calculation puts the volume at 2140 Å³/cell. The uncorrected formation energy comes out at -2622 kJ/mol of formula units.

Unit cell a=14.0608 b=14.0608 c=14.0608 alpha=109.47 beta=109.47 gamma=109.47
Fractional coordinates of all 80 atoms:
1 Cl 0.8209 0.9173 0.3047
2 Cl 0.1953 0.5162 0.6126
3 Cl 0.3874 0.4036 0.0827
4 Cl 0.8874 0.3047 0.4838
5 Cl 0.0162 0.4036 0.8209
6 Cl 0.6126 0.0162 0.1953
7 Cl 0.4838 0.6791 0.0964
8 Cl 0.8209 0.9036 0.0162
9 Cl 0.9838 0.3874 0.3047
10 Cl 0.3874 0.9838 0.8047
11 Cl 0.9173 0.0964 0.6126
12 Cl 0.4036 0.3874 0.5827
13 Cl 0.0964 0.9173 0.1126
14 Cl 0.9036 0.0827 0.8874
15 Cl 0.0827 0.9036 0.3874
16 Cl 0.5827 0.8874 0.4036
17 Cl 0.9036 0.8209 0.5162
18 Cl 0.4173 0.1126 0.5964
19 Cl 0.1126 0.4173 0.0964
20 Cl 0.5964 0.6126 0.4173
21 Cl 0.8047 0.3209 0.9173
22 Cl 0.8874 0.5827 0.9036
23 Cl 0.5162 0.3209 0.9036
24 Cl 0.1953 0.6791 0.0827
25 Cl 0.4036 0.0162 0.3209
26 Cl 0.9173 0.8209 0.8047
27 Cl 0.9838 0.5964 0.1791
28 Cl 0.6126 0.5964 0.9173
29 Cl 0.0964 0.1791 0.4838
30 Cl 0.0162 0.6126 0.6953
31 Cl 0.1126 0.6953 0.5162
32 Cl 0.8047 0.4838 0.3874
33 Cl 0.6791 0.4838 0.5964
34 Cl 0.6953 0.5827 0.1791
35 Cl 0.3209 0.5162 0.4036
36 Cl 0.4173 0.3047 0.3209
37 Cl 0.6953 0.1126 0.0162
38 Cl 0.5162 0.1953 0.1126
39 Cl 0.3047 0.8874 0.9838
40 Cl 0.1791 0.0964 0.9838
41 Cl 0.5964 0.9838 0.6791
42 Cl 0.5827 0.6953 0.6791
43 Cl 0.4838 0.8047 0.8874
44 Cl 0.3209 0.8047 0.4173
45 Cl 0.0827 0.1791 0.1953
46 Cl 0.6791 0.1953 0.5827
47 Cl 0.1791 0.0827 0.6953
48 Cl 0.3047 0.4173 0.8209
49 Ga 0.8750 0.7500 0.1250
50 Ga 0.6250 0.3750 0.7500
51 Ga 0.8750 0.1250 0.2500
52 Ga 0.3750 0.6250 0.2500
53 Ga 0.7500 0.8750 0.6250
54 Ga 0.6250 0.2500 0.3750
55 Ga 0.3750 0.7500 0.6250
56 Ga 0.1250 0.8750 0.7500
57 Ga 0.2500 0.6250 0.8750
58 Ga 0.2500 0.1250 0.3750
59 Ga 0.7500 0.3750 0.1250
60 Ga 0.1250 0.2500 0.8750
61 Mg 0.8750 0.2500 0.6250
62 Mg 0.1250 0.7500 0.3750
63 Mg 0.1250 0.3750 0.2500
64 Mg 0.2500 0.3750 0.6250
65 Mg 0.5000 0.5000 0.5000
66 Mg 0.8750 0.6250 0.7500
67 Mg 0.7500 0.1250 0.8750
68 Mg 0.5000 0.0000 0.5000
69 Mg 0.0000 0.5000 0.5000
70 Mg 0.3750 0.2500 0.1250
71 Mg 0.0000 0.0000 0.5000
72 Mg 0.6250 0.8750 0.2500
73 Mg 0.0000 0.5000 0.0000
74 Mg 0.5000 0.0000 0.0000
75 Mg 0.5000 0.5000 0.0000
76 Mg 0.3750 0.1250 0.7500
77 Mg 0.0000 0.0000 0.0000
78 Mg 0.2500 0.8750 0.1250
79 Mg 0.7500 0.6250 0.3750
80 Mg 0.6250 0.7500 0.8750

=====

No. 7
# Re2PtCl

A relaxed structure of Re2PtCl (GGA-PBE, the Alexandria database).

Calculated values
The calculation puts the volume at 63 Å³/cell. The uncorrected formation energy comes out at 386 kJ/mol of formula units.

Unit cell a=2.7557 b=4.8845 c=4.7153 alpha=90.00 beta=90.00 gamma=90.00
Fractional coordinates of all 4 atoms:
1 Pt 0.0000 0.5000 0.5000
2 Re 0.5000 0.5000 0.0000
3 Re 0.0000 0.0000 0.0000
4 Cl 0.5000 0.0000 0.5000

=====

No. 8
# ZrPb2I8

A relaxed structure of ZrPb2I8 (GGA-PBE, the Alexandria database).

Calculated values
The calculation puts the volume at 507 Å³/cell. The uncorrected formation energy comes out at -735 kJ/mol of formula units.

Unit cell a=8.0247 b=8.1788 c=8.7009 alpha=89.12 beta=117.46 gamma=90.00
Fractional coordinates of all 11 atoms:
1 Pb 0.1328 0.4883 0.2656
2 Pb 0.8672 0.5117 0.7344
3 I 0.2917 0.7576 0.0838
4 I 0.8214 0.9008 0.6428
5 I 0.6904 0.3881 0.3809
6 I 0.7083 0.2424 0.9162
7 I 0.3096 0.6119 0.6191
8 I 0.7920 0.7576 0.0838
9 I 0.1786 0.0992 0.3572
10 I 0.2080 0.2424 0.9162
11 Zr 0.0000 0.0000 0.0000

=====

No. 9
# Li2PmThS4

A relaxed structure of Li2PmThS4 (GGA-PBE, the Alexandria database).

Calculated values
The calculation puts the volume at 172 Å³/cell. The uncorrected formation energy comes out at -1322 kJ/mol of formula units.

Unit cell a=3.9937 b=6.6543 c=6.9065 alpha=69.89 beta=90.00 gamma=90.00
Fractional coordinates of all 8 atoms:
1 S 0.0000 0.2386 0.2565
2 S 0.5000 0.2363 0.7523
3 S 0.0000 0.7614 0.7435
4 S 0.5000 0.7637 0.2477
5 Pm 0.5000 0.5000 0.0000
6 Li 0.0000 0.0000 0.0000
7 Li 0.5000 0.0000 0.5000
8 Th 0.0000 0.5000 0.5000

=====

No. 10
# ScTc2Ir

A relaxed structure of ScTc2Ir (GGA-PBE, the Alexandria database).

Calculated values
The calculation puts the volume at 64 Å³/cell. The energy of formation from the pure elements comes out at -185 meV per atom.

Unit cell a=2.9945 b=2.9945 c=7.1098 alpha=90.00 beta=90.00 gamma=89.99
Fractional coordinates of all 4 atoms:
1 Tc 0.5000 0.5000 0.2345
2 Tc 0.0000 0.0000 0.0246
3 Sc 0.5000 0.5000 0.7466
4 Ir 0.0000 0.0000 0.4943